1.
Density functional theory data (GGA-PBE) for crystalline InRhS2Cl at its relaxed geometry.

The structure in extended XYZ format:
```
5
Lattice="-2.355 1.842 -3.633 -3.865 -2.333 1.323 -1.328 3.774 2.774" Properties=species:S:1:pos:R:3 pbc="T T T"
S -1.933 -1.166 0.661
S -1.177 0.921 -1.816
Cl -0.664 1.887 1.387
Rh 0.000 0.000 0.000
In -3.774 1.641 0.232
```

Properties
Fermi-level density of states = 1.121 states/eV/atom
raw formation energy = -0.049 eV per atom
energy = -20.4 eV per cell

---

2.
Density functional theory data (GGA-PBE) for crystalline Sr2InRhCl at its relaxed geometry.

The structure in extended XYZ format:
```
5
Lattice="5.929 0.000 0.000 0.000 4.586 0.000 0.000 0.000 5.929" Properties=species:S:1:pos:R:3 pbc="T T T"
Sr 0.000 0.000 2.965
Sr 2.965 0.000 0.000
Cl 0.000 2.293 0.000
Rh 0.000 0.000 0.000
In 2.965 2.293 2.965
```

Properties
Fermi-level density of states = 0.916 states/eV/atom
raw formation energy = -0.342 eV per atom
energy = -17.0 eV per cell

---

3.
Density functional theory data (GGA-PBE) for crystalline TaInRh2Cl at its relaxed geometry.

The structure in extended XYZ format:
```
5
Lattice="-2.227 -3.168 2.029 3.695 -0.365 3.485 -2.022 2.997 2.458" Properties=species:S:1:pos:R:3 pbc="T T T"
Cl 0.000 0.000 0.000
In 1.848 -0.183 1.743
Rh -1.011 1.498 1.229
Rh -1.114 -1.584 1.015
Ta -0.277 -0.268 3.986
```

Properties
Fermi-level density of states = 1.188 states/eV/atom
raw formation energy = 1.012 eV per atom
energy = -26.1 eV per cell

---

4.
Density functional theory data (GGA-PBE) for crystalline TlInRhCl6 at its relaxed geometry.

The structure in extended XYZ format:
```
9
Lattice="-5.860 -2.678 0.973 -3.408 -2.826 -5.062 3.236 -6.147 1.619" Properties=species:S:1:pos:R:3 pbc="T T T"
Tl -0.192 -8.978 -3.427
In -1.538 -4.928 -0.498
Rh -4.580 -6.748 -1.901
Cl -6.038 -5.582 -0.449
Cl -3.340 -8.007 -3.516
Cl -2.618 -7.153 -0.082
Cl -5.702 -8.699 -1.176
Cl -3.360 -4.740 -2.360
Cl -2.796 -3.415 1.057
```

Properties
raw formation energy = -0.842 eV per atom
energy = -31.1 eV per cell

---

5.
Density functional theory data (GGA-PBE) for crystalline Tl2InRhCl at its relaxed geometry.

The structure in extended XYZ format:
```
5
Lattice="5.303 0.000 0.000 0.000 5.303 0.000 0.000 0.000 5.190" Properties=species:S:1:pos:R:3 pbc="T T T"
Tl 0.000 2.652 0.000
Tl 2.652 0.000 0.000
Cl 2.652 2.652 2.595
Rh 0.000 0.000 0.000
In 0.000 0.000 2.595
```

Properties
Fermi-level density of states = 0.108 states/eV/atom
raw formation energy = -0.418 eV per atom
energy = -18.8 eV per cell

---

6.
Density functional theory data (GGA-PBE) for crystalline VInRh2Cl at its relaxed geometry.

The structure in extended XYZ format:
```
5
Lattice="4.499 0.000 0.000 0.000 4.236 0.000 0.000 0.000 4.499" Properties=species:S:1:pos:R:3 pbc="T T T"
Cl 0.000 0.000 0.000
V 0.000 2.118 0.000
Rh 0.000 0.000 2.250
Rh 2.250 0.000 0.000
In 2.250 2.118 2.250
```

Properties
Fermi-level density of states = 0.449 states/eV/atom
raw formation energy = 0.385 eV per atom
energy = -26.5 eV per cell

---

7.
Density functional theory data (GGA-PBE) for crystalline InRu2Cl at its relaxed geometry.

The structure in extended XYZ format:
```
4
Lattice="0.000 3.206 3.206 3.206 0.000 3.206 3.206 3.206 0.000" Properties=species:S:1:pos:R:3 pbc="T T T"
Ru 1.603 1.603 1.603
Ru 4.808 4.808 4.808
Cl 0.000 0.000 0.000
In 3.206 3.206 3.206
```

Properties
Fermi-level density of states = 1.685 states/eV/atom
raw formation energy = 0.814 eV per atom
energy = -19.9 eV per cell

---

8.
Density functional theory data (GGA-PBE) for crystalline InRu2Cl at its relaxed geometry.

The structure in extended XYZ format:
```
4
Lattice="-4.849 5.207 4.620 -6.209 5.440 1.956 -6.892 3.171 3.796" Properties=species:S:1:pos:R:3 pbc="T T T"
Cl -4.488 3.454 2.593
In -13.463 10.363 7.779
Ru -17.860 13.748 10.320
Ru -9.065 6.979 5.238
```

Properties
Fermi-level density of states = 1.181 states/eV/atom
raw formation energy = 0.458 eV per atom
energy = -21.3 eV per cell

---

9.
Density functional theory data (GGA-PBE) for crystalline In4Ru2Cl at its relaxed geometry.

The structure in extended XYZ format:
```
7
Lattice="5.315 0.000 0.000 0.000 5.315 0.000 2.657 2.657 6.690" Properties=species:S:1:pos:R:3 pbc="T T T"
Ru 5.315 5.315 5.513
Ru 2.657 2.657 1.177
Cl 0.000 0.000 0.000
In 5.315 5.315 2.841
In 2.657 2.657 3.848
In 0.000 2.657 0.000
In 2.657 0.000 0.000
```

Properties
Fermi-level density of states = 0.936 states/eV/atom
raw formation energy = 0.556 eV per atom
energy = -27.5 eV per cell

---

10.
Density functional theory data (GGA-PBE) for crystalline InRu2Cl at its relaxed geometry.

The structure in extended XYZ format:
```
4
Lattice="-0.498 -3.881 -0.763 2.406 -0.681 1.890 -3.670 -0.418 4.521" Properties=species:S:1:pos:R:3 pbc="T T T"
Cl -0.565 -2.215 1.221
In -1.197 -2.764 4.427
Ru -2.899 -0.568 4.784
Ru -1.403 -0.398 2.942
```

Properties
Fermi-level density of states = 0.786 states/eV/atom
raw formation energy = 0.487 eV per atom
energy = -21.2 eV per cell

---

11.
Density functional theory data (GGA-PBE) for crystalline InRuCl4 at its relaxed geometry.

The structure in extended XYZ format:
```
6
Lattice="5.883 -0.235 0.824 2.263 -3.404 4.316 3.000 -4.944 -1.379" Properties=species:S:1:pos:R:3 pbc="T T T"
In 8.359 -6.437 2.821
Ru 0.000 0.000 0.000
Cl 7.130 -3.331 1.822
Cl 5.680 -5.699 0.715
Cl 5.310 -4.924 3.578
Cl 4.172 -3.213 1.408
```

Properties
Fermi-level density of states = 1.468 states/eV/atom
raw formation energy = 0.802 eV per atom
energy = -14.6 eV per cell

---

12.
Density functional theory data (GGA-PBE) for crystalline InRu2Cl at its relaxed geometry.

The structure in extended XYZ format:
```
4
Lattice="3.098 0.000 0.000 0.000 3.098 0.000 0.000 0.000 6.651" Properties=species:S:1:pos:R:3 pbc="T T T"
Cl 1.549 1.549 1.663
In 1.549 1.549 4.988
Ru 0.000 0.000 0.103
Ru 0.000 0.000 3.222
```

Properties
Fermi-level density of states = 0.921 states/eV/atom
raw formation energy = 0.592 eV per atom
energy = -20.8 eV per cell

---

13.
Density functional theory data (GGA-PBE) for crystalline InRu2Cl at its relaxed geometry.

The structure in extended XYZ format:
```
4
Lattice="-2.978 -0.504 -0.052 1.567 -0.011 2.582 -1.447 8.455 0.916" Properties=species:S:1:pos:R:3 pbc="T T T"
Cl -1.067 1.856 1.494
In -1.791 6.084 1.952
Ru -0.021 0.123 0.013
Ru -0.703 4.105 0.444
```

Properties
Fermi-level density of states = 1.100 states/eV/atom
raw formation energy = 0.568 eV per atom
energy = -20.9 eV per cell

---

14.
Density functional theory data (GGA-PBE) for crystalline InRu2Cl at its relaxed geometry.

The structure in extended XYZ format:
```
4
Lattice="-2.624 -1.242 -0.305 -0.043 -0.612 2.854 -3.760 7.561 1.564" Properties=species:S:1:pos:R:3 pbc="T T T"
Cl -1.611 3.239 0.670
In -4.338 5.115 2.524
Ru -0.164 0.330 0.068
Ru -2.194 0.805 1.633
```

Properties
Fermi-level density of states = 0.724 states/eV/atom
raw formation energy = 0.186 eV per atom
energy = -22.4 eV per cell

---

15.
Density functional theory data (GGA-PBE) for crystalline InRuCl3 at its relaxed geometry.

The structure in extended XYZ format:
```
5
Lattice="5.263 0.000 0.000 0.000 5.263 0.000 0.000 0.000 5.263" Properties=species:S:1:pos:R:3 pbc="T T T"
Ru 2.632 2.632 2.632
Cl 0.000 2.632 0.000
Cl 0.000 0.000 2.632
Cl 2.632 0.000 0.000
In 0.000 0.000 0.000
```

Properties
Fermi-level density of states = 0.359 states/eV/atom
raw formation energy = 0.335 eV per atom
energy = -15.9 eV per cell

---

16.
Density functional theory data (GGA-PBE) for crystalline InRu2Cl at its relaxed geometry.

The structure in extended XYZ format:
```
4
Lattice="-4.054 -0.121 3.455 1.541 -1.216 4.954 0.160 3.402 -4.098" Properties=species:S:1:pos:R:3 pbc="T T T"
Cl -2.576 1.307 1.781
In 0.222 0.759 2.530
Ru -2.466 -1.311 8.250
Ru -1.305 -0.694 4.364
```

Properties
Fermi-level density of states = 1.125 states/eV/atom
raw formation energy = 0.499 eV per atom
energy = -21.1 eV per cell

---

17.
Density functional theory data (GGA-PBE) for crystalline InRuCl at its relaxed geometry.

The structure in extended XYZ format:
```
3
Lattice="4.496 0.000 0.000 2.248 3.894 0.000 2.248 1.298 3.671" Properties=species:S:1:pos:R:3 pbc="T T T"
Cl 0.000 0.000 0.000
In 4.496 2.596 1.836
Ru 6.744 3.894 2.753
```

Properties
Fermi-level density of states = 1.357 states/eV/atom
raw formation energy = 0.549 eV per atom
energy = -12.2 eV per cell

---

18.
Density functional theory data (GGA-PBE) for crystalline InRuCl at its relaxed geometry.

The structure in extended XYZ format:
```
3
Lattice="-2.699 -2.482 -4.964 1.304 -4.470 -4.050 -0.361 1.958 5.841" Properties=species:S:1:pos:R:3 pbc="T T T"
Cl -0.034 -0.169 -0.219
In -0.422 -2.104 -2.728
Ru -0.938 -4.679 -6.067
```

Properties
Fermi-level density of states = 1.078 states/eV/atom
raw formation energy = 0.300 eV per atom
energy = -13.0 eV per cell

---

19.
Density functional theory data (GGA-PBE) for crystalline InRuCl at its relaxed geometry.

The structure in extended XYZ format:
```
3
Lattice="-4.958 5.928 -0.623 -6.599 3.356 0.127 0.795 2.167 2.131" Properties=species:S:1:pos:R:3 pbc="T T T"
Cl -11.190 9.073 -0.418
In -7.644 7.030 0.336
Ru -3.484 4.633 1.221
```

Properties
Fermi-level density of states = 1.383 states/eV/atom
raw formation energy = 0.346 eV per atom
energy = -12.8 eV per cell

---

20.
Density functional theory data (GGA-PBE) for crystalline InRu2Cl at its relaxed geometry.

The structure in extended XYZ format:
```
4
Lattice="-5.702 6.047 4.986 -7.785 4.235 3.922 -6.349 3.537 6.412" Properties=species:S:1:pos:R:3 pbc="T T T"
Cl -10.327 7.194 7.976
In -14.637 10.196 11.304
Ru -19.609 13.660 15.145
Ru -5.017 3.495 3.875
```

Properties
Fermi-level density of states = 0.762 states/eV/atom
raw formation energy = 0.301 eV per atom
energy = -21.9 eV per cell

---

21.
Density functional theory data (GGA-PBE) for crystalline InRu2Cl at its relaxed geometry.

The structure in extended XYZ format:
```
4
Lattice="-2.445 -3.509 -2.333 1.577 -4.070 2.166 -1.806 4.001 2.113" Properties=species:S:1:pos:R:3 pbc="T T T"
Cl -0.434 -3.790 -0.084
In -2.343 -1.649 -0.152
Ru 0.000 0.000 0.000
Ru -0.332 -1.929 2.097
```

Properties
Fermi-level density of states = 0.853 states/eV/atom
raw formation energy = 0.772 eV per atom
energy = -20.1 eV per cell

---

22.
Density functional theory data (GGA-PBE) for crystalline InRu2Cl at its relaxed geometry.

The structure in extended XYZ format:
```
4
Lattice="2.931 0.000 0.000 0.000 5.042 0.000 0.000 0.000 4.537" Properties=species:S:1:pos:R:3 pbc="T T T"
Cl 1.465 0.000 2.268
In 0.000 2.521 2.268
Ru 0.000 0.000 0.000
Ru 1.465 2.521 0.000
```

Properties
Fermi-level density of states = 1.058 states/eV/atom
raw formation energy = 0.576 eV per atom
energy = -20.8 eV per cell

---

23.
Density functional theory data (GGA-PBE) for crystalline InRuCl3 at its relaxed geometry.

The structure in extended XYZ format:
```
5
Lattice="4.926 0.000 0.000 0.000 4.926 0.000 0.000 0.000 4.926" Properties=species:S:1:pos:R:3 pbc="T T T"
Ru 0.000 0.000 0.000
Cl 0.000 2.463 0.000
Cl 0.000 0.000 2.463
Cl 2.463 0.000 0.000
In 2.463 2.463 2.463
```

Properties
Fermi-level density of states = 0.958 states/eV/atom
raw formation energy = -0.334 eV per atom
energy = -19.2 eV per cell

---

24.
Density functional theory data (GGA-PBE) for crystalline InRu2Cl at its relaxed geometry.

The structure in extended XYZ format:
```
4
Lattice="5.773 0.213 -0.286 4.920 3.029 -0.286 0.806 0.244 4.614" Properties=species:S:1:pos:R:3 pbc="T T T"
Cl 6.282 1.905 1.580
In 9.020 2.735 2.815
Ru 10.032 3.042 0.294
Ru 2.607 0.791 0.803
```

Properties
Fermi-level density of states = 0.980 states/eV/atom
raw formation energy = 0.410 eV per atom
energy = -21.5 eV per cell

---

25.
Density functional theory data (GGA-PBE) for crystalline InRuCl at its relaxed geometry.

The structure in extended XYZ format:
```
3
Lattice="-3.198 -1.927 -2.256 4.167 -0.739 -1.059 0.075 -2.560 2.081" Properties=species:S:1:pos:R:3 pbc="T T T"
Cl 0.062 -2.133 1.734
In -0.718 -2.385 -1.163
Ru 1.774 -3.268 0.276
```

Properties
Fermi-level density of states = 0.916 states/eV/atom
raw formation energy = 0.349 eV per atom
energy = -12.8 eV per cell

---

26.
Density functional theory data (GGA-PBE) for crystalline InRu2Cl at its relaxed geometry.

The structure in extended XYZ format:
```
8
Lattice="5.902 0.000 0.000 0.000 5.902 0.000 2.951 2.951 4.978" Properties=species:S:1:pos:R:3 pbc="T T T"
Ru 4.048 1.476 1.244
Ru 1.854 4.427 1.244
Ru 4.427 4.805 3.733
Ru 7.378 6.999 3.733
Cl 2.951 2.951 0.000
Cl 2.951 5.902 2.489
In 0.000 0.000 0.000
In 5.902 2.951 2.489
```

Properties
Fermi-level density of states = 0.435 states/eV/atom
raw formation energy = 0.949 eV per atom
energy = -38.7 eV per cell

---

27.
Density functional theory data (GGA-PBE) for crystalline InRu2Cl at its relaxed geometry.

The structure in extended XYZ format:
```
4
Lattice="6.446 0.514 -0.015 3.775 5.250 0.015 -4.562 -3.855 2.479" Properties=species:S:1:pos:R:3 pbc="T T T"
Cl 5.718 3.225 0.000
In 2.535 2.349 1.247
Ru 9.376 5.288 0.000
Ru 3.360 -0.307 1.232
```

Properties
Fermi-level density of states = 0.814 states/eV/atom
raw formation energy = 0.497 eV per atom
energy = -21.2 eV per cell

---

28.
Density functional theory data (GGA-PBE) for crystalline InRu2Cl at its relaxed geometry.

The structure in extended XYZ format:
```
4
Lattice="-2.288 -0.447 -1.892 -1.409 -1.614 2.085 -4.924 4.954 4.784" Properties=species:S:1:pos:R:3 pbc="T T T"
Cl -2.531 2.071 2.572
In -6.189 2.309 4.558
Ru -0.269 -0.027 0.332
Ru -2.797 0.209 0.951
```

Properties
Fermi-level density of states = 0.565 states/eV/atom
raw formation energy = 0.113 eV per atom
energy = -22.7 eV per cell

---

29.
Density functional theory data (GGA-PBE) for crystalline InRu2Cl at its relaxed geometry.

The structure in extended XYZ format:
```
4
Lattice="4.540 0.000 0.000 0.001 4.540 0.000 0.000 0.000 3.153" Properties=species:S:1:pos:R:3 pbc="T T T"
Cl 2.270 0.000 1.577
In 0.000 2.270 1.577
Ru 0.000 0.000 0.000
Ru 2.270 2.270 0.000
```

Properties
Fermi-level density of states = 0.763 states/eV/atom
raw formation energy = 0.710 eV per atom
energy = -20.3 eV per cell

---

30.
Density functional theory data (GGA-PBE) for crystalline InRuCl at its relaxed geometry.

The structure in extended XYZ format:
```
3
Lattice="-2.707 0.244 -1.902 2.812 -1.224 -1.265 -1.664 -5.534 1.658" Properties=species:S:1:pos:R:3 pbc="T T T"
Cl -1.620 -5.388 1.614
In -1.459 -2.215 -1.100
Ru -0.143 -4.445 -0.366
```

Properties
Fermi-level density of states = 0.921 states/eV/atom
raw formation energy = 0.236 eV per atom
energy = -13.2 eV per cell